Entry 1:
# AgSbPb2, relaxed, DFT PBE-GGA
data_AgSbPb2
_chemical_formula_sum 'Ag1 Sb1 Pb2'
_cell_length_a 3.381
_cell_length_b 4.076
_cell_length_c 7.954
_cell_angle_alpha 90.00
_cell_angle_beta 90.00
_cell_angle_gamma 90.00
_space_group_name_H-M_alt 'P m m 2'
_space_group_IT_number 25
_space_group_name_Hall 'P 2 -2'
loop_
_atom_site_label
_atom_site_type_symbol
_atom_site_fract_x
_atom_site_fract_y
_atom_site_fract_z
_atom_site_occupancy
Ag1 Ag 0.000 0.000 0.000 1
Sb1 Sb 0.500 0.500 0.804 1
Pb1 Pb 0.000 0.000 0.535 1
Pb2 Pb 0.500 0.500 0.229 1
# Total moment (μB/f.u.): 0.00
# Uncorrected energy (eV per atom): -3.509
# E_form (uncorrected) (meV/atom): 88.5
# D(E_F) (states/eV/atom): 0.42

---

Entry 2:
# AgSbPb2, relaxed, DFT PBE-GGA
data_AgSbPb2
_chemical_formula_sum 'Ag2 Sb2 Pb4'
_cell_length_a 14.399
_cell_length_b 3.418
_cell_length_c 4.849
_cell_angle_alpha 90.00
_cell_angle_beta 105.53
_cell_angle_gamma 90.00
_space_group_name_H-M_alt 'C 1 2/m 1'
_space_group_IT_number 12
_space_group_name_Hall '-C 2y'
loop_
_atom_site_label
_atom_site_type_symbol
_atom_site_fract_x
_atom_site_fract_y
_atom_site_fract_z
_atom_site_occupancy
Ag1 Ag 0.000 0.000 0.000 1
Sb1 Sb 0.000 0.500 0.500 1
Pb1 Pb 0.189 0.500 0.203 1
# Total moment (μB/f.u.): 0.00
# Uncorrected energy (eV per atom): -3.483
# E_form (uncorrected) (meV/atom): 114.1
# D(E_F) (states/eV/atom): 0.27

---

Entry 3:
# AgSb2Pb, relaxed, DFT PBE-GGA
data_AgSb2Pb
_chemical_formula_sum 'Ag2 Sb4 Pb2'
_cell_length_a 4.626
_cell_length_b 4.688
_cell_length_c 9.726
_cell_angle_alpha 90.00
_cell_angle_beta 90.00
_cell_angle_gamma 90.00
_space_group_name_H-M_alt 'C m m m'
_space_group_IT_number 65
_space_group_name_Hall '-C 2 2'
loop_
_atom_site_label
_atom_site_type_symbol
_atom_site_fract_x
_atom_site_fract_y
_atom_site_fract_z
_atom_site_occupancy
Ag1 Ag 0.000 0.000 0.000 1
Sb1 Sb 0.000 0.500 0.216 1
Pb1 Pb 0.000 0.000 0.500 1
# Total moment (μB/f.u.): 0.00
# Uncorrected energy (eV per atom): -3.570
# E_form (uncorrected) (meV/atom): 131.4
# D(E_F) (states/eV/atom): 0.34

---

Entry 4:
# Ag2Sb5Pb5, relaxed, DFT PBE-GGA
data_Ag2Sb5Pb5
_chemical_formula_sum 'Ag4 Sb10 Pb10'
_cell_length_a 16.526
_cell_length_b 4.934
_cell_length_c 10.874
_cell_angle_alpha 90.00
_cell_angle_beta 128.14
_cell_angle_gamma 90.00
_space_group_name_H-M_alt 'C 1 2/m 1'
_space_group_IT_number 12
_space_group_name_Hall '-C 2y'
loop_
_atom_site_label
_atom_site_type_symbol
_atom_site_fract_x
_atom_site_fract_y
_atom_site_fract_z
_atom_site_occupancy
Ag1 Ag 0.148 0.000 0.250 1
Sb1 Sb 0.000 0.000 0.500 1
Sb2 Sb 0.057 0.000 0.843 1
Sb3 Sb 0.244 0.000 0.691 1
Pb1 Pb 0.000 0.500 0.000 1
Pb2 Pb 0.106 0.500 0.421 1
Pb3 Pb 0.198 0.500 0.847 1
# Total moment (μB/f.u.): 0.00
# Uncorrected energy (eV per atom): -3.674
# E_form (uncorrected) (meV/atom): 64.2
# D(E_F) (states/eV/atom): 0.36

---

Entry 5:
# Ag2Sb2Pb, relaxed, DFT PBE-GGA
data_Ag2Sb2Pb
_chemical_formula_sum 'Ag4 Sb4 Pb2'
_cell_length_a 4.474
_cell_length_b 4.474
_cell_length_c 13.120
_cell_angle_alpha 90.00
_cell_angle_beta 90.00
_cell_angle_gamma 90.00
_space_group_name_H-M_alt 'I 4/m m m'
_space_group_IT_number 139
_space_group_name_Hall '-I 4 2'
loop_
_atom_site_label
_atom_site_type_symbol
_atom_site_fract_x
_atom_site_fract_y
_atom_site_fract_z
_atom_site_occupancy
Ag1 Ag 0.000 0.000 0.103 1
Sb1 Sb 0.000 0.500 0.250 1
Pb1 Pb 0.000 0.000 0.500 1
# Total moment (μB/f.u.): 0.00
# Uncorrected energy (eV per atom): -3.378
# E_form (uncorrected) (meV/atom): 153.3
# D(E_F) (states/eV/atom): 0.36
# Relative energy among the computed polymorphs (meV per atom): 46

---

Entry 6:
# AgSb2Pb, relaxed, DFT PBE-GGA
data_AgSb2Pb
_chemical_formula_sum 'Ag1 Sb2 Pb1'
_cell_length_a 3.220
_cell_length_b 4.161
_cell_length_c 8.216
_cell_angle_alpha 90.00
_cell_angle_beta 90.00
_cell_angle_gamma 90.00
_space_group_name_H-M_alt 'P m m 2'
_space_group_IT_number 25
_space_group_name_Hall 'P 2 -2'
loop_
_atom_site_label
_atom_site_type_symbol
_atom_site_fract_x
_atom_site_fract_y
_atom_site_fract_z
_atom_site_occupancy
Ag1 Ag 0.000 0.000 0.000 1
Sb1 Sb 0.000 0.000 0.511 1
Sb2 Sb 0.000 0.500 0.249 1
Pb1 Pb 0.500 0.500 0.794 1
# Total moment (μB/f.u.): 0.00
# Uncorrected energy (eV per atom): -3.581
# E_form (uncorrected) (meV/atom): 120.4
# D(E_F) (states/eV/atom): 0.42

---

Entry 7:
# AgSbPb2, relaxed, DFT PBE-GGA
data_AgSbPb2
_chemical_formula_sum 'Ag2 Sb2 Pb4'
_cell_length_a 6.715
_cell_length_b 9.594
_cell_length_c 3.416
_cell_angle_alpha 90.00
_cell_angle_beta 90.12
_cell_angle_gamma 90.00
_space_group_name_H-M_alt 'C 1 2/m 1'
_space_group_IT_number 12
_space_group_name_Hall '-C 2y'
loop_
_atom_site_label
_atom_site_type_symbol
_atom_site_fract_x
_atom_site_fract_y
_atom_site_fract_z
_atom_site_occupancy
Ag1 Ag 0.000 0.000 0.000 1
Sb1 Sb 0.000 0.500 0.000 1
Pb1 Pb 0.250 0.250 0.500 1
# Total moment (μB/f.u.): 0.00
# Uncorrected energy (eV per atom): -3.470
# E_form (uncorrected) (meV/atom): 127.9
# D(E_F) (states/eV/atom): 0.45

---

Entry 8:
# AgSb2Pb, relaxed, DFT PBE-GGA
data_AgSb2Pb
_chemical_formula_sum 'Ag4 Sb8 Pb4'
_cell_length_a 7.521
_cell_length_b 7.521
_cell_length_c 7.521
_cell_angle_alpha 90.00
_cell_angle_beta 90.00
_cell_angle_gamma 90.00
_space_group_name_H-M_alt 'F -4 3 m'
_space_group_IT_number 216
_space_group_name_Hall 'F -4 2 3'
loop_
_atom_site_label
_atom_site_type_symbol
_atom_site_fract_x
_atom_site_fract_y
_atom_site_fract_z
_atom_site_occupancy
Ag1 Ag 0.000 0.000 0.000 1
Sb1 Sb 0.000 0.000 0.500 1
Sb2 Sb 0.250 0.250 0.250 1
Pb1 Pb 0.250 0.250 0.750 1
# Total moment (μB/f.u.): 0.00
# Uncorrected energy (eV per atom): -3.484
# E_form (uncorrected) (meV/atom): 217.0
# D(E_F) (states/eV/atom): 0.86

---

Entry 9:
# Ag3Sb2Pb2, relaxed, DFT PBE-GGA
data_Ag3Sb2Pb2
_chemical_formula_sum 'Ag6 Sb4 Pb4'
_cell_length_a 18.465
_cell_length_b 3.257
_cell_length_c 6.419
_cell_angle_alpha 90.00
_cell_angle_beta 110.23
_cell_angle_gamma 90.00
_space_group_name_H-M_alt 'C 1 2/m 1'
_space_group_IT_number 12
_space_group_name_Hall '-C 2y'
loop_
_atom_site_label
_atom_site_type_symbol
_atom_site_fract_x
_atom_site_fract_y
_atom_site_fract_z
_atom_site_occupancy
Ag1 Ag 0.000 0.000 0.000 1
Ag2 Ag 0.202 0.000 0.591 1
Sb1 Sb 0.060 0.500 0.397 1
Pb1 Pb 0.174 0.000 0.045 1
# Total moment (μB/f.u.): 0.00
# Uncorrected energy (eV per atom): -3.363
# E_form (uncorrected) (meV/atom): 96.0
# D(E_F) (states/eV/atom): 0.36

---

Entry 10:
# AgSb4Pb, relaxed, DFT PBE-GGA
data_AgSb4Pb
_chemical_formula_sum 'Ag4 Sb16 Pb4'
_cell_length_a 8.867
_cell_length_b 8.867
_cell_length_c 8.867
_cell_angle_alpha 90.00
_cell_angle_beta 90.00
_cell_angle_gamma 90.00
_space_group_name_H-M_alt 'F -4 3 m'
_space_group_IT_number 216
_space_group_name_Hall 'F -4 2 3'
loop_
_atom_site_label
_atom_site_type_symbol
_atom_site_fract_x
_atom_site_fract_y
_atom_site_fract_z
_atom_site_occupancy
Ag1 Ag 0.000 0.000 0.000 1
Sb1 Sb 0.125 0.125 0.375 1
Pb1 Pb 0.250 0.250 0.750 1
# Total moment (μB/f.u.): 0.00
# Uncorrected energy (eV per atom): -3.531
# E_form (uncorrected) (meV/atom): 310.6
# D(E_F) (states/eV/atom): 0.30

---

Entry 11:
# AgSbPb2, relaxed, DFT PBE-GGA
data_AgSbPb2
_chemical_formula_sum 'Ag2 Sb2 Pb4'
_cell_length_a 4.775
_cell_length_b 4.789
_cell_length_c 9.531
_cell_angle_alpha 90.00
_cell_angle_beta 90.00
_cell_angle_gamma 90.00
_space_group_name_H-M_alt 'C m m 2'
_space_group_IT_number 35
_space_group_name_Hall 'C 2 -2'
loop_
_atom_site_label
_atom_site_type_symbol
_atom_site_fract_x
_atom_site_fract_y
_atom_site_fract_z
_atom_site_occupancy
Ag1 Ag 0.000 0.000 0.000 1
Sb1 Sb 0.000 0.500 0.200 1
Pb1 Pb 0.000 0.000 0.483 1
Pb2 Pb 0.000 0.500 0.773 1
# Total moment (μB/f.u.): 0.00
# Uncorrected energy (eV per atom): -3.516
# E_form (uncorrected) (meV/atom): 81.5
# D(E_F) (states/eV/atom): 0.45

---

Entry 12:
# AgSb2Pb, relaxed, DFT PBE-GGA
data_AgSb2Pb
_chemical_formula_sum 'Ag1 Sb2 Pb1'
_cell_length_a 3.262
_cell_length_b 3.262
_cell_length_c 9.861
_cell_angle_alpha 90.00
_cell_angle_beta 90.00
_cell_angle_gamma 90.00
_space_group_name_H-M_alt 'P 4 m m'
_space_group_IT_number 99
_space_group_name_Hall 'P 4 -2'
loop_
_atom_site_label
_atom_site_type_symbol
_atom_site_fract_x
_atom_site_fract_y
_atom_site_fract_z
_atom_site_occupancy
Ag1 Ag 0.000 0.000 0.000 1
Sb1 Sb 0.000 0.000 0.510 1
Sb2 Sb 0.500 0.500 0.797 1
Pb1 Pb 0.500 0.500 0.228 1
# Total moment (μB/f.u.): 0.00
# Uncorrected energy (eV per atom): -3.537
# E_form (uncorrected) (meV/atom): 163.7
# D(E_F) (states/eV/atom): 0.37

---

Look up the total moment of the eleventh one. 0.00 μB/f.u.

---

Number 7 is which compound? AgSbPb2

---

The highest E_form (uncorrected) belongs to which entry? AgSb4Pb